# 1
This record from Alexandria describes a relaxed structure of Ba5Na2SrRh. The functional is PBE-GGA.

abc: 8.726 8.726 8.726
angles: 119.49 119.49 90.89
Element x y z (fractional)
Ba: 0.000 0.000 0.000
Ba: 0.509 0.509 0.513
Ba: 0.509 0.997 0.000
Ba: 0.997 0.509 0.000
Ba: 0.997 0.997 0.487
Na: 0.004 0.504 0.500
Na: 0.504 0.004 0.500
Sr: 0.511 0.511 0.000
Rh: 0.755 0.755 0.000

- DOS(E_F): 7.28 states/eV per cell
- Space-group type: No. 107
- E: -2.48 eV/atom
- ΔH_f (0 K): -113 meV per atom
- Theoretical density: 3.24 g/cm3
- M_tot: 0.0 Bohr magnetons per cell

=====

# 2
This record from Alexandria describes a relaxed structure of Ti2Ge2Pb. The functional is PBE-GGA.

abc: 3.671 3.671 14.187
angles: 90.00 90.00 90.00
Element x y z (fractional)
Ti: 0.000 0.000 0.109
Ti: 0.000 0.000 0.891
Ti: 0.500 0.500 0.391
Ti: 0.500 0.500 0.609
Ge: 0.000 0.500 0.250
Ge: 0.000 0.500 0.750
Ge: 0.500 0.000 0.250
Ge: 0.500 0.000 0.750
Pb: 0.000 0.000 0.500
Pb: 0.500 0.500 0.000

- Relative energy among the computed polymorphs: 0 meV/atom
- DOS(E_F): 7.78 states/eV per cell
- Space-group type: No. 139
- E: -5.90 eV/atom
- ΔH_f (0 K): -151 meV per atom
- Theoretical density: 7.79 g/cm3
- M_tot: 0.0 Bohr magnetons per cell

=====

# 3
This record from Alexandria describes a relaxed structure of U3Sb. The functional is PBE-GGA.

abc: 4.439 4.439 4.439
angles: 90.00 90.00 90.00
Element x y z (fractional)
U: 0.000 0.000 0.500
U: 0.000 0.500 0.000
U: 0.500 0.000 0.000
Sb: 0.500 0.500 0.500

- Uncorrected formation energy: -33 kJ/mol of formula units
- Relative energy among the computed polymorphs: 0 meV/atom
- DOS(E_F): 9.47 states/eV per cell
- Space-group type: No. 221
- E: -9.58 eV/atom
- Theoretical density: 15.87 g/cm3
- M_tot: 1.7 Bohr magnetons per cell

=====

# 4
This record from Alexandria describes a relaxed structure of YMo. The functional is PBE-GGA.

abc: 4.170 4.170 14.614
angles: 90.00 90.00 120.00
Element x y z (fractional)
Y: 0.333 0.667 0.103
Y: 0.333 0.667 0.397
Y: 0.667 0.333 0.603
Y: 0.667 0.333 0.897
Mo: 0.000 0.000 0.250
Mo: 0.000 0.000 0.750
Mo: 0.333 0.667 0.750
Mo: 0.667 0.333 0.250

- Relative energy among the computed polymorphs: 245 meV/atom
- DOS(E_F): 11.56 states/eV per cell
- Space-group type: No. 194
- E: -8.27 eV/atom
- ΔH_f (0 K): 381 meV per atom
- Theoretical density: 5.58 g/cm3
- M_tot: 0.0 Bohr magnetons per cell

=====

# 5
This record from Alexandria describes a relaxed structure of Mg2AlTl. The functional is PBE-GGA.

abc: 3.191 4.242 6.541
angles: 90.00 91.95 90.00
Element x y z (fractional)
Mg: 0.000 0.000 0.232
Mg: 0.000 0.000 0.768
Al: 0.500 0.500 0.000
Tl: 0.500 0.500 0.500

- DOS(E_F): 1.39 states/eV per cell
- Space-group type: No. 10
- E: -2.30 eV/atom
- ΔH_f (0 K): 28 meV per atom
- Theoretical density: 5.25 g/cm3
- M_tot: 0.0 Bohr magnetons per cell

=====

# 6
This record from Alexandria describes a relaxed structure of K2PaTcO6. The functional is PBE-GGA.

abc: 5.878 5.878 4.336
angles: 90.00 90.00 90.00
Element x y z (fractional)
K: 0.000 0.500 0.000
K: 0.500 0.000 0.000
Pa: 0.000 0.000 0.511
Tc: 0.500 0.500 0.464
O: 0.000 0.000 0.012
O: 0.263 0.263 0.513
O: 0.263 0.737 0.513
O: 0.500 0.500 0.046
O: 0.737 0.263 0.513
O: 0.737 0.737 0.513

- Uncorrected formation energy: -2214 kJ/mol of formula units
- DOS(E_F): 4.39 states/eV per cell
- Space-group type: No. 99
- E: -7.47 eV/atom
- Theoretical density: 5.58 g/cm3
- M_tot: 2.0 Bohr magnetons per cell

=====

# 7
This record from Alexandria describes a relaxed structure of KAsOs2. The functional is PBE-GGA.

abc: 5.052 2.648 5.843
angles: 90.00 113.23 90.00
Element x y z (fractional)
K: 0.000 0.000 0.000
As: 0.500 0.500 0.000
Os: 0.000 0.500 0.500
Os: 0.500 0.000 0.500

- DOS(E_F): 4.59 states/eV per cell
- Space-group type: No. 10
- E: -5.85 eV/atom
- ΔH_f (0 K): 1199 meV per atom
- Theoretical density: 11.43 g/cm3
- M_tot: 0.0 Bohr magnetons per cell

=====

# 8
This record from Alexandria describes a relaxed structure of CdIn2Hg2Pb2. The functional is PBE-GGA.

abc: 9.029 4.877 10.491
angles: 90.00 91.98 90.00
Element x y z (fractional)
Cd: 0.000 0.000 0.000
Cd: 0.500 0.500 0.000
In: 0.001 0.500 0.839
In: 0.499 0.000 0.161
In: 0.501 0.000 0.839
In: 0.999 0.500 0.161
Hg: 0.198 0.000 0.242
Hg: 0.302 0.500 0.758
Hg: 0.698 0.500 0.242
Hg: 0.802 0.000 0.758
Pb: 0.157 0.500 0.440
Pb: 0.343 0.000 0.560
Pb: 0.657 0.000 0.440
Pb: 0.843 0.500 0.560

- DOS(E_F): 5.80 states/eV per cell
- Space-group type: No. 12
- E: -1.92 eV/atom
- ΔH_f (0 K): 134 meV per atom
- Theoretical density: 8.33 g/cm3
- M_tot: 0.0 Bohr magnetons per cell

=====

# 9
This record from Alexandria describes a relaxed structure of Er3VPt12. The functional is PBE-GGA.

abc: 4.051 4.051 16.246
angles: 90.00 90.00 90.00
Element x y z (fractional)
Er: 0.000 0.000 0.000
Er: 0.000 0.000 0.253
Er: 0.000 0.000 0.747
V: 0.000 0.000 0.500
Pt: 0.000 0.500 0.128
Pt: 0.000 0.500 0.387
Pt: 0.000 0.500 0.613
Pt: 0.000 0.500 0.872
Pt: 0.500 0.000 0.128
Pt: 0.500 0.000 0.387
Pt: 0.500 0.000 0.613
Pt: 0.500 0.000 0.872
Pt: 0.500 0.500 0.000
Pt: 0.500 0.500 0.257
Pt: 0.500 0.500 0.500
Pt: 0.500 0.500 0.743

- DOS(E_F): 12.27 states/eV per cell
- Space-group type: No. 123
- E: -6.87 eV/atom
- ΔH_f (0 K): -917 meV per atom
- Theoretical density: 18.03 g/cm3
- M_tot: 0.3 Bohr magnetons per cell

=====

# 10
This record from Alexandria describes a relaxed structure of RbTaGe. The functional is PBE-GGA.

abc: 3.861 4.572 16.433
angles: 90.00 90.00 90.00
Element x y z (fractional)
Rb: 0.000 0.000 0.000
Rb: 0.000 0.500 0.500
Rb: 0.500 0.000 0.500
Rb: 0.500 0.500 0.000
Ta: 0.000 0.000 0.708
Ta: 0.000 0.500 0.208
Ta: 0.500 0.000 0.208
Ta: 0.500 0.500 0.708
Ge: 0.000 0.000 0.328
Ge: 0.000 0.500 0.828
Ge: 0.500 0.000 0.828
Ge: 0.500 0.500 0.328

- Relative energy among the computed polymorphs: 153 meV/atom
- DOS(E_F): 4.06 states/eV per cell
- Space-group type: No. 42
- E: -5.21 eV/atom
- ΔH_f (0 K): 601 meV per atom
- Theoretical density: 7.76 g/cm3
- M_tot: 0.0 Bohr magnetons per cell

=====

# 11
This record from Alexandria describes a relaxed structure of PrHg6Pd. The functional is PBE-GGA.

abc: 6.338 6.338 6.338
angles: 109.31 109.31 109.31
Element x y z (fractional)
Pr: 0.000 0.000 0.000
Hg: 0.247 0.247 0.711
Hg: 0.247 0.711 0.247
Hg: 0.289 0.753 0.753
Hg: 0.711 0.247 0.247
Hg: 0.753 0.289 0.753
Hg: 0.753 0.753 0.289
Pd: 0.500 0.500 0.500

- DOS(E_F): 4.10 states/eV per cell
- Space-group type: No. 166
- E: -1.65 eV/atom
- ΔH_f (0 K): -174 meV per atom
- Theoretical density: 12.22 g/cm3
- M_tot: 0.0 Bohr magnetons per cell

=====

# 12
This record from Alexandria describes a relaxed structure of Cs2TmU2Se6. The functional is PBE-GGA.

abc: 7.237 7.237 8.935
angles: 97.71 97.71 119.93
Element x y z (fractional)
Cs: 0.166 0.834 0.000
Cs: 0.834 0.166 0.000
Tm: 0.000 0.000 0.500
U: 0.334 0.666 0.500
U: 0.666 0.334 0.500
Se: 0.060 0.391 0.682
Se: 0.270 0.270 0.318
Se: 0.391 0.060 0.682
Se: 0.609 0.940 0.318
Se: 0.730 0.730 0.682
Se: 0.940 0.609 0.318

- Uncorrected formation energy: -1508 kJ/mol of formula units
- DOS(E_F): 12.48 states/eV per cell
- Space-group type: No. 12
- E: -5.94 eV/atom
- Theoretical density: 5.89 g/cm3
- M_tot: 5.0 Bohr magnetons per cell